Record 1
First-principles (GGA-PBE) data for a geometry-optimized YEr2ReO8 structure, as listed in the Alexandria database.

Unit cell a=5.0144 b=5.0122 c=6.7249 alpha=90.00 beta=90.00 gamma=90.62
Positions (direct):
O1 0.1828 0.8164 0.7933
O2 0.8172 0.1836 0.7933
Re1 0.0000 0.0000 0.0000
O3 0.3088 0.3082 0.5000
O4 0.2705 0.2697 0.0000
O5 0.6912 0.6918 0.5000
O6 0.1828 0.8164 0.2067
Y1 0.0000 0.0000 0.5000
O7 0.8172 0.1836 0.2067
Er1 0.5000 0.5000 0.7477
Er2 0.5000 0.5000 0.2523
O8 0.7295 0.7303 0.0000

Summary:
The value obtained for the formation energy without anion corrections is -2.808 eV per atom. The calculation puts the density of states at the Fermi level at 0.000 states/eV per atom. Its space group is Cmmm, No. 65.

***

Record 2
First-principles (GGA-PBE) data for a geometry-optimized ErRhO4 structure, as listed in the Alexandria database.

Unit cell a=5.1646 b=5.3039 c=6.0632 alpha=108.45 beta=115.21 gamma=90.00
Each line ends with the local moment (μB).
Positions (direct):
O1 0.1147 0.6467 0.3132  0.03
O2 0.4850 0.5379 0.8090  0.15
O3 0.5150 0.4621 0.1910  0.15
O4 0.8853 0.3533 0.6868  0.03
O5 0.6760 0.9621 0.1910  0.15
Rh1 0.5000 0.5000 0.5000  0.52
Er1 0.7745 0.2500 0.0000  0.05
Er2 0.2255 0.7500 0.0000  0.05
O6 0.3240 0.0379 0.8090  0.15
O7 0.1984 0.1467 0.3132  0.03
O8 0.8016 0.8533 0.6868  0.03
Rh2 0.0000 0.0000 0.5000  0.52

Summary:
The value obtained for the formation energy without anion corrections is -1.736 eV per atom. The calculation puts the density of states at the Fermi level at 0.598 states/eV per atom. Its space group is C2/c, No. 15.

***

Record 3
First-principles (GGA-PBE) data for a geometry-optimized ErRhO3 structure, as listed in the Alexandria database.

Unit cell a=5.2450 b=5.7851 c=7.6156 alpha=90.00 beta=90.00 gamma=90.00
Positions (direct):
Er1 0.9677 0.9136 0.2500
Rh1 0.0000 0.5000 0.0000
Er2 0.0323 0.0864 0.7500
O1 0.6751 0.6888 0.4347
O2 0.6751 0.6888 0.0653
O3 0.8249 0.1888 0.0653
O4 0.6407 0.9436 0.7500
O5 0.8249 0.1888 0.4347
Er3 0.5323 0.4136 0.2500
Rh2 0.5000 0.0000 0.5000
O6 0.1751 0.8112 0.9347
O7 0.1407 0.5564 0.2500
O8 0.1751 0.8112 0.5653
O9 0.8593 0.4436 0.7500
Rh3 0.0000 0.5000 0.5000
O10 0.3249 0.3112 0.9347
O11 0.3249 0.3112 0.5653
Rh4 0.5000 0.0000 0.0000
O12 0.3593 0.0564 0.2500
Er4 0.4677 0.5864 0.7500

Summary:
The value obtained for the formation energy without anion corrections is -2.178 eV per atom. The calculation puts the density of states at the Fermi level at 0.000 states/eV per atom. Its space group is Pnma, No. 62.

***

Record 4
First-principles (GGA-PBE) data for a geometry-optimized Er2RhO structure, as listed in the Alexandria database.

Unit cell a=3.4502 b=3.4502 c=7.1374 alpha=76.01 beta=76.01 gamma=60.00
Positions (direct):
O1 0.5000 0.5000 0.5000
Er1 0.2383 0.2383 0.2850
Er2 0.7617 0.7617 0.7150
Rh1 0.0000 0.0000 0.0000

Summary:
The value obtained for the formation energy without anion corrections is -1.704 eV per atom. The calculation puts the density of states at the Fermi level at 0.678 states/eV per atom. The value obtained for the distance to the lowest polymorph of the same formula is 0 meV/atom. Its space group is R-3m, No. 166.

***

Record 5
First-principles (GGA-PBE) data for a geometry-optimized ErRh4O8 structure, as listed in the Alexandria database.

Unit cell a=6.2385 b=6.2385 c=6.1597 alpha=59.58 beta=59.58 gamma=60.00
Each line ends with the local moment (μB).
Positions (direct):
Rh1 0.0000 0.0000 0.0000  0.05
O1 0.2375 0.7336 0.7914  0.01
O2 0.2724 0.2724 0.1827  0.08
Er1 0.5000 0.5000 0.5000  0.00
O3 0.7276 0.7276 0.8173  0.08
O4 0.7625 0.2664 0.2086  0.01
Rh2 0.5000 0.5000 0.0000  0.12
Rh3 0.0000 0.5000 0.0000  0.12
O5 0.7625 0.7625 0.2086  0.01
Rh4 0.5000 0.0000 0.0000  0.12
O6 0.2664 0.7625 0.2086  0.01
O7 0.2375 0.2375 0.7914  0.01
O8 0.7336 0.2375 0.7914  0.01

Summary:
The value obtained for the formation energy without anion corrections is -1.186 eV per atom. The calculation puts the density of states at the Fermi level at 0.418 states/eV per atom. Its space group is R-3m, No. 166.

***

Record 6
First-principles (GGA-PBE) data for a geometry-optimized Er2RhO structure, as listed in the Alexandria database.

Unit cell a=3.1214 b=3.1214 c=6.8802 alpha=90.00 beta=90.00 gamma=90.00
Positions (direct):
O1 0.5000 0.5000 0.0000
Er1 0.0000 0.0000 0.7681
Rh1 0.5000 0.5000 0.5000
Er2 0.0000 0.0000 0.2319

Summary:
The value obtained for the formation energy without anion corrections is -1.390 eV per atom. The calculation puts the density of states at the Fermi level at 0.572 states/eV per atom. The value obtained for the distance to the lowest polymorph of the same formula is 315 meV/atom. Its space group is P4/mmm, No. 123.